6
Lattice="-1.5490 3.9890 -1.1429 -3.3920 -1.8743 -2.2921 -5.2328 -0.0206 6.5921" Properties=species:S:1:pos:R:3 comment="CaTeC PBE relaxed" space_group="P1, No. 1" magnetic_moment_mub_per_fu=0.00 formation_energy_uncorrected_ev_per_atom=-0.46 polymorph_energy_mev_per_atom=0 e_tot_ev_per_atom=-5.244 pbc="T T T"
C -7.5772 0.0383 2.5009
C -8.6825 0.2892 3.0537
Te -5.2483 3.0259 0.9911
Te -1.9939 2.4407 -0.5671
Ca -5.8312 -0.2293 4.2924
Ca -6.1441 0.0919 0.4056

---

4
Lattice="-1.2955 4.5046 0.7898 -4.1507 1.6067 -1.6684 -3.1426 1.2152 2.2175" Properties=species:S:1:pos:R:3 comment="Mn2SbH PBE relaxed" space_group="R-3m, No. 166" magnetic_moment_mub_per_fu=6.36 polymorph_energy_mev_per_atom=0 e_tot_ev_per_atom=-6.122 pbc="T T T"
H 0.0000 0.0000 0.0000
Mn -6.1953 5.6473 0.5385
Mn -2.3934 1.6791 0.8005
Sb -4.2943 3.6632 0.6695

---

5
Lattice="4.5255 0.0000 0.0000 0.0000 4.5255 0.0000 0.0000 0.0000 4.5255" Properties=species:S:1:pos:R:3 comment="SiPPt3 PBE relaxed" space_group="Pm-3m, No. 221" magnetic_moment_mub_per_fu=0.00 formation_energy_uncorrected_ev_per_atom=0.29 polymorph_energy_mev_per_atom=0 e_tot_ev_per_atom=-5.502 pbc="T T T"
Si 2.2627 2.2627 2.2627
P 0.0000 0.0000 0.0000
Pt 0.0000 0.0000 2.2627
Pt 0.0000 2.2627 0.0000
Pt 2.2627 0.0000 0.0000

---

14
Lattice="-5.7815 -1.2326 4.1732 -5.0667 -4.7041 -2.1355 -0.6216 -6.4836 3.4973" Properties=species:S:1:pos:R:3 comment="BaAc2Pa3N8 PBE relaxed" space_group="R3m, No. 160" magnetic_moment_mub_per_fu=0.00 formation_energy_uncorrected_ev_per_atom=-1.34 e_tot_ev_per_atom=-8.858 pbc="T T T"
Pa -7.9444 -5.3170 -0.0297
Pa -8.2984 -3.5976 3.0948
Pa -5.4349 -2.9871 1.0279
N -3.2231 -6.6991 3.3212
N -5.7868 -7.2457 5.1717
N -5.4698 -8.7850 2.3743
N -6.0486 -3.6800 3.0804
N -8.3727 -9.6607 4.3674
N -8.1738 -5.6531 2.1846
N -3.0414 -2.8435 1.2201
N -5.7487 -5.1361 0.4342
Ac -1.6938 -4.8706 2.4883
Ac -5.7333 -6.2126 2.7690
Ba -9.7453 -7.5960 3.0757

---

6
Lattice="5.8093 0.0000 0.0000 0.0000 5.1402 0.0000 0.0000 0.0000 5.1402" Properties=species:S:1:pos:R:3 comment="LaCdPt PBE relaxed" space_group="P4/nmm, No. 129" magnetic_moment_mub_per_fu=0.00 ef_ev_per_fu=-2.0 e_tot_ev_per_atom=-4.638 pbc="T T T"
Cd 2.9047 2.5701 2.5701
Cd 2.9047 0.0000 0.0000
Pt 1.7154 0.0000 2.5701
Pt 4.0939 2.5701 0.0000
La 4.8650 0.0000 2.5701
La 0.9443 2.5701 0.0000

---

4
Lattice="-4.4149 1.4802 -0.3059 -2.9975 -0.8677 3.4696 -1.4868 3.4842 2.7249" Properties=species:S:1:pos:R:3 comment="PmMgNiRu PBE relaxed" space_group="F-43m, No. 216" magnetic_moment_mub_per_fu=0.00 ef_ev_per_fu=-0.3 e_tot_ev_per_atom=-5.432 pbc="T T T"
Pm 0.0000 0.0000 0.0000
Ru -6.6744 3.0726 4.4164
Mg -4.4496 2.0484 2.9443
Ni -2.2248 1.0242 1.4721